6
Lattice="7.5041 0.0000 0.0000 0.0000 6.1229 0.0000 0.0000 0.0000 4.5506" Properties=species:S:1:pos:R:3 comment="KGaSn PBE optimized geometry" formation_enthalpy_0k_ev_per_atom=-0.04 sg="No. 51" vol_a3_per_atom=34.85 final_energy_ry_per_atom=-0.2018 magmom_total_mub_per_fu=0.0 pbc="T T T"
Ga 0.0000 3.0614 2.2753
Ga 3.7520 3.0614 2.2753
K 1.8760 0.0000 3.0185
K 5.6281 0.0000 1.5321
Sn 1.8760 3.0614 0.3312
Sn 5.6281 3.0614 4.2194